A relaxed Nd3SiGe6Pt2 crystal, computed with GGA-PBE.

Computed properties:
Formation energy without anion corrections ... -0.34 eV/atom
Crystal system ... trigonal
Energy ... -63.630 eV per formula unit

Cell: 5.663 5.663 9.380 Å, 90.00 90.00 120.00°
Fractional coordinates of all 12 atoms:
Nd (0.000, 0.000, 0.000)
Nd (0.333, 0.667, 0.587)
Nd (0.667, 0.333, 0.413)
Si (0.000, 0.000, 0.500)
Ge (0.171, 0.342, 0.277)
Ge (0.171, 0.829, 0.277)
Ge (0.342, 0.171, 0.723)
Ge (0.658, 0.829, 0.277)
Ge (0.829, 0.171, 0.723)
Ge (0.829, 0.658, 0.723)
Pt (0.333, 0.667, 0.055)
Pt (0.667, 0.333, 0.945)

A relaxed NdSi2Ge2Pt7 crystal, computed with GGA-PBE.

Computed properties:
Formation energy without anion corrections ... -0.55 eV/atom
Crystal system ... monoclinic
Energy ... -73.773 eV per formula unit

Cell: 3.968 3.968 14.669 Å, 94.33 94.33 89.75°
Fractional coordinates of all 12 atoms:
Nd (0.000, 0.000, 0.000)
Si (0.426, 0.426, 0.748)
Si (0.574, 0.574, 0.252)
Ge (0.155, 0.155, 0.424)
Ge (0.845, 0.845, 0.576)
Pt (0.048, 0.547, 0.160)
Pt (0.402, 0.402, 0.588)
Pt (0.453, 0.952, 0.840)
Pt (0.500, 0.500, 0.000)
Pt (0.547, 0.048, 0.160)
Pt (0.598, 0.598, 0.412)
Pt (0.952, 0.453, 0.840)

Q: What is the energy in the second record?
A: -73.773 eV per formula unit

Q: Which formula does entry 1 have?
A: Nd3SiGe6Pt2

Q: What is the formation energy without anion corrections in the second record?
A: -0.55 eV/atom